Compound: YZrTa
Source: Alexandria
Functional: GGA-PBE
Structure: optimized geometry

Results
N(E_F) (states/eV/atom): 0.885
Total DFT energy (no corrections) (eV for the cell shown): -26.2
Excess energy over the best structure of this formula in the dataset (eV per atom): 0.000
SG: P-6m2 (187)
Spin magnetization (μB/f.u.): 0.00

Lattice parameters (Å, degrees): 5.053 5.053 3.190 90.00 90.00 120.00
Fractional positions:
Ta: 0.000 0.000 0.833
Y: 0.667 0.333 0.334
Zr: 0.333 0.667 0.834